*a*
8
Lattice="3.9821 0.0000 0.0000 0.0000 3.9821 0.0000 0.0000 0.0000 8.4034" Properties=species:S:1:pos:R:3 comment="CoAgPO PBE with a Hubbard U relaxed" magnetic_moment_mub_per_fu=2.33 rho_g_cm3=5.328 volume_a3_per_atom=16.66 spacegroup="P4/nmm, No. 129" pbc="T T T"
Co 1.9911 0.0000 0.4384
Co 0.0000 1.9911 7.9650
P 0.0000 1.9911 5.7230
P 1.9911 0.0000 2.6804
Ag 1.9911 1.9911 4.2017
Ag 0.0000 0.0000 4.2017
O 1.9911 1.9911 0.0000
O 0.0000 0.0000 0.0000

=====

*b*
8
Lattice="-1.9948 2.9378 1.2083 1.1886 -0.6329 3.5010 5.6774 4.3263 -1.1454" Properties=species:S:1:pos:R:3 comment="CoAgPO PBE with a Hubbard U relaxed" magnetic_moment_mub_per_fu=0.11 rho_g_cm3=6.980 volume_a3_per_atom=12.71 spacegroup="P4/nmm, No. 129" pbc="T T T"
Co 2.4356 3.3156 1.7819
Co 2.8387 2.1631 -0.5727
Ag 3.7427 5.0809 -0.3521
Ag 1.5316 0.3978 1.5614
P 0.9505 2.9532 0.2112
P 4.3238 2.5255 0.9981
O -0.4031 1.1524 2.3546
O 0.0000 0.0000 0.0000

=====

*c*
8
Lattice="3.1112 0.0000 0.0000 0.0000 6.7205 0.0000 0.0000 0.0000 5.9296" Properties=species:S:1:pos:R:3 comment="CoAgPO PBE with a Hubbard U relaxed" magnetic_moment_mub_per_fu=2.22 rho_g_cm3=5.726 volume_a3_per_atom=15.50 spacegroup="Pmc2_1, No. 26" pbc="T T T"
O 1.5556 4.2557 5.4489
O 1.5556 2.4648 2.4841
P 0.0000 6.0582 1.9349
P 0.0000 0.6623 4.8997
Co 0.0000 1.4439 2.7874
Co 0.0000 5.2767 5.7522
Ag 1.5556 2.0811 0.2294
Ag 1.5556 4.6394 3.1942

=====

Winner for stability: *a*